1.
First-principles (PBE) data for a relaxed structure of MnAl6Cu12, as listed in Alexandria.

## Properties
Symmetry = R-3m, No. 166
Fermi-level density of states = 0.333 states/eV per atom
Final energy = -83.20 eV per formula unit

abc: 6.484 6.484 6.484
angles: 101.99 101.99 101.99
Each line ends with the local moment (μB).
Fractional positions:
Cu 0.590 0.590 0.186  0.00
Cu 0.410 0.410 0.814  0.00
Mn 0.000 0.000 0.000  2.76
Al 0.839 0.570 0.839  -0.01
Al 0.570 0.839 0.839  -0.01
Cu 0.186 0.590 0.590  0.00
Cu 0.000 0.740 0.260  0.01
Cu 0.260 0.740 0.000  0.01
Cu 0.814 0.410 0.410  0.00
Cu 0.410 0.814 0.410  0.00
Cu 0.590 0.186 0.590  0.00
Cu 0.740 0.260 0.000  0.01
Al 0.161 0.161 0.430  -0.01
Cu 0.260 0.000 0.740  0.01
Al 0.161 0.430 0.161  -0.01
Al 0.430 0.161 0.161  -0.01
Cu 0.000 0.260 0.740  0.01
Al 0.839 0.839 0.570  -0.01
Cu 0.740 0.000 0.260  0.01

---

2.
First-principles (PBE) data for a relaxed structure of ScTlCu2, as listed in Alexandria.

## Properties
Symmetry = P2/m, No. 10
Fermi-level density of states = 0.408 states/eV per atom
Final energy = -17.13 eV per formula unit

abc: 3.442 3.418 7.061
angles: 61.11 90.00 90.00
Fractional positions:
Tl 0.500 0.750 0.750
Cu 0.000 0.533 0.468
Sc 0.500 0.250 0.250
Cu 0.000 0.967 0.032

---

3.
First-principles (PBE) data for a relaxed structure of NiOs2Se, as listed in Alexandria.

## Properties
Symmetry = Cmm2, No. 35
Fermi-level density of states = 1.412 states/eV per atom
Final energy = -28.99 eV per formula unit

abc: 2.728 2.728 9.363
angles: 90.00 90.00 119.20
Each line ends with the local moment (μB).
Fractional positions:
Se 0.000 0.000 0.536  0.00
Os 0.000 0.000 0.987  0.29
Ni 0.500 0.500 0.753  0.07
Os 0.500 0.500 0.223  0.20